Here is Dy4CdHg5 after structural relaxation from Alexandria via LeMat-Bulk. Energies are from PBE.

extended XYZ file:
```
10
Lattice="3.715 0.000 0.000 0.000 3.715 0.000 0.000 0.000 18.200" Properties=species:S:1:pos:R:3 pbc="T T T"
Dy 0.000 0.000 3.508
Dy 0.000 0.000 7.235
Dy 0.000 0.000 10.965
Dy 0.000 0.000 14.693
Cd 0.000 0.000 0.000
Hg 1.857 1.857 1.738
Hg 1.857 1.857 5.416
Hg 1.857 1.857 9.100
Hg 1.857 1.857 12.784
Hg 1.857 1.857 16.462
```

## Properties
Spin magnetization ... 0.006 μB/cell
Electronic total energy ... -24.9 eV for the cell shown
DOS at the Fermi energy ... 7.9 states/eV/cell
Volume ... 251.2 Å³/f.u.
Formation enthalpy at 0 K ... -402.2 meV/atom
Space-group type ... P4/mmm (123)

Here is DyCd7Hg12 after structural relaxation from Alexandria via LeMat-Bulk. Energies are from PBE.

extended XYZ file:
```
20
Lattice="-2.789 8.702 -1.507 -1.680 -2.440 7.990 3.924 5.451 5.245" Properties=species:S:1:pos:R:3 pbc="T T T"
Dy 0.000 0.000 0.000
Cd -0.318 0.005 3.275
Cd -2.157 7.773 8.272
Cd 0.904 5.165 6.520
Cd -1.394 4.351 -0.754
Cd -1.448 6.548 5.209
Cd 1.612 3.940 3.456
Cd -0.227 11.709 8.453
Hg -1.103 5.621 2.379
Hg 0.068 2.482 8.380
Hg -0.708 2.568 1.690
Hg -2.023 4.773 7.809
Hg 0.217 8.822 6.771
Hg 0.106 11.583 5.251
Hg -0.650 0.130 6.478
Hg -0.761 2.891 4.957
Hg 1.478 6.940 3.919
Hg 0.163 9.145 10.038
Hg -0.613 9.231 3.348
Hg 0.558 6.092 9.349
```

## Properties
Spin magnetization ... 0.000 μB/cell
Electronic total energy ... -15.2 eV for the cell shown
Excess energy over the best structure of this formula in the dataset ... 0.6 kJ/mol of atoms
DOS at the Fermi energy ... 6.8 states/eV/cell
Volume ... 506.0 Å³/f.u.
Formation enthalpy at 0 K ... -26.8 meV/atom
Space-group type ... R-3 (148)

Here is Dy3Cd4Hg4 after structural relaxation from Alexandria via LeMat-Bulk. Energies are from PBE.

extended XYZ file:
```
11
Lattice="3.453 0.001 0.002 0.001 4.948 0.007 1.717 2.472 15.459" Properties=species:S:1:pos:R:3 pbc="T T T"
Dy 1.721 4.949 11.152
Dy 3.451 2.471 4.317
Dy 1.717 2.472 15.459
Cd 3.447 2.474 12.642
Cd 1.724 2.470 7.236
Cd 3.447 4.950 8.233
Cd 1.725 4.947 2.827
Hg 3.452 4.947 14.015
Hg 1.719 2.474 1.454
Hg 1.727 4.943 5.658
Hg 3.445 2.477 9.811
```

## Properties
Spin magnetization ... 0.001 μB/cell
Electronic total energy ... -22.1 eV for the cell shown
DOS at the Fermi energy ... 5.1 states/eV/cell
Volume ... 264.0 Å³/f.u.
Formation enthalpy at 0 K ... -308.3 meV/atom
Space-group type ... P-1 (2)